DFT (PBEsol) results for an optimized crystal structure of MgAu2Br.

Values from the calculation:
For the distance to the lowest polymorph of the same formula, the calculation gives 0 meV/atom. The value obtained for the formation energy from raw total energies is -1.0 eV per formula unit. The space group is Immm.

Unit cell a=6.145 b=6.145 c=6.145 alpha=148.92 beta=138.36 gamma=52.86
Atoms (fractional coordinates):
Mg 0.000 0.000 0.000
Au 0.230 0.730 0.500
Au 0.770 0.270 0.500
Br 0.500 0.500 0.000

***

DFT (PBEsol) results for an optimized crystal structure of Mn2CoMo.

Values from the calculation:
The formation energy comes out at 51 kJ/mol of formula units. The space group is I4/mmm.

Unit cell a=4.412 b=4.412 c=4.412 alpha=132.33 beta=132.33 gamma=69.71
Atoms (fractional coordinates):
Mn 0.250 0.750 0.500
Mn 0.750 0.250 0.500
Co 0.000 0.000 0.000
Mo 0.500 0.500 0.000

***

DFT (PBEsol) results for an optimized crystal structure of LiNbVO4.

Values from the calculation:
For the distance to the lowest polymorph of the same formula, the calculation gives 85 meV/atom. The value obtained for the formation energy from raw total energies is -15.6 eV per formula unit. The space group is P4_322.

Unit cell a=5.994 b=5.994 c=8.562 alpha=90.00 beta=90.00 gamma=90.00
Atoms (fractional coordinates):
Li 0.000 0.237 0.000
Li 0.000 0.763 0.500
Li 0.237 0.000 0.250
Li 0.763 0.000 0.750
Nb 0.252 0.252 0.625
Nb 0.252 0.748 0.875
Nb 0.748 0.252 0.375
Nb 0.748 0.748 0.125
V 0.245 0.500 0.250
V 0.500 0.245 0.000
V 0.500 0.755 0.500
V 0.755 0.500 0.750
O 0.013 0.261 0.254
O 0.013 0.739 0.246
O 0.261 0.013 0.996
O 0.261 0.987 0.504
O 0.262 0.494 0.013
O 0.262 0.506 0.487
O 0.494 0.262 0.237
O 0.494 0.738 0.263
O 0.506 0.262 0.763
O 0.506 0.738 0.737
O 0.738 0.494 0.987
O 0.738 0.506 0.513
O 0.739 0.013 0.004
O 0.739 0.987 0.496
O 0.987 0.261 0.746
O 0.987 0.739 0.754

***

DFT (PBEsol) results for an optimized crystal structure of ZnRhBr3.

Values from the calculation:
The value obtained for the formation energy from raw total energies is 0.4 eV per formula unit. The space group is Pm-3m.

Unit cell a=4.955 b=4.955 c=4.955 alpha=90.00 beta=90.00 gamma=90.00
Atoms (fractional coordinates):
Zn 0.000 0.000 0.000
Rh 0.500 0.500 0.500
Br 0.000 0.500 0.500
Br 0.500 0.000 0.500
Br 0.500 0.500 0.000

***

DFT (PBEsol) results for an optimized crystal structure of Nb3Os2.

Values from the calculation:
The formation energy comes out at -111 kJ/mol of formula units. The space group is Cmm2.

Unit cell a=9.832 b=9.832 c=5.048 alpha=90.00 beta=90.00 gamma=90.18
Atoms (fractional coordinates):
Nb 0.035 0.629 0.013
Nb 0.102 0.898 0.000
Nb 0.128 0.462 0.512
Nb 0.180 0.180 0.762
Nb 0.319 0.681 0.261
Nb 0.319 0.681 0.760
Nb 0.371 0.965 0.013
Nb 0.395 0.395 0.515
Nb 0.462 0.128 0.512
Nb 0.538 0.872 0.512
Nb 0.605 0.605 0.515
Nb 0.629 0.035 0.013
Nb 0.681 0.319 0.261
Nb 0.681 0.319 0.760
Nb 0.820 0.820 0.762
Nb 0.872 0.538 0.512
Nb 0.898 0.102 0.000
Nb 0.965 0.371 0.013
Os 0.000 0.000 0.482
Os 0.065 0.744 0.509
Os 0.181 0.181 0.260
Os 0.241 0.429 0.014
Os 0.256 0.935 0.509
Os 0.429 0.241 0.014
Os 0.500 0.500 0.012
Os 0.571 0.759 0.014
Os 0.744 0.065 0.509
Os 0.759 0.571 0.014
Os 0.819 0.819 0.260
Os 0.935 0.256 0.509

***

DFT (PBEsol) results for an optimized crystal structure of BaTlMo3.

Values from the calculation:
For the distance to the lowest polymorph of the same formula, the calculation gives 668 meV/atom. The formation energy comes out at 1462 kJ/mol of formula units. The space group is Pm-3m.

Unit cell a=4.952 b=4.952 c=4.952 alpha=90.00 beta=90.00 gamma=90.00
Atoms (fractional coordinates):
Ba 0.000 0.000 0.000
Tl 0.500 0.500 0.500
Mo 0.000 0.000 0.500
Mo 0.000 0.500 0.000
Mo 0.500 0.000 0.000

***

Number 1: total moment 0.000 μB/atom, final energy -0.115 Ha/atom. Number 2: total moment 0.218 μB/atom, final energy -0.354 Ha/atom. Number 3: total moment 0.412 μB/atom, final energy -0.310 Ha/atom. Number 4: total moment 0.000 μB/atom, final energy -0.110 Ha/atom. Number 5: total moment 0.000 μB/atom, final energy -0.427 Ha/atom. Number 6: total moment 0.471 μB/atom, final energy -0.183 Ha/atom.